Material: Tb2PmSm6Th
Method: DFT, PBE-GGA
State: relaxed

```
Tb2PmSm6Th
1.0
0.509 9.814 -0.065
-4.198 -0.532 -7.728
-5.007 -0.391 7.239
Sm Th Tb Pm
12 2 4 2
Direct
0.557 0.753 0.110
0.120 0.702 0.490
0.057 0.110 0.753
0.816 0.423 0.982
0.620 0.490 0.702
0.184 0.577 0.018
0.943 0.890 0.247
0.880 0.298 0.510
0.316 0.982 0.423
0.380 0.510 0.298
0.443 0.247 0.890
0.684 0.018 0.577
0.750 0.026 0.974
0.250 0.974 0.026
0.548 0.196 0.287
0.048 0.287 0.196
0.952 0.713 0.804
0.452 0.804 0.713
0.750 0.595 0.405
0.250 0.405 0.595
```

Computed properties:
E = -4.83 eV per atom
SG = C2/c
energy of formation from the pure elements = 147 meV/atom
M_tot = 0.0 μB per formula unit